DFT (PBE) results for an optimized crystal structure of Bi2PdF.

```
Bi2PdF
1.0
0.0000 3.4104 3.4104
3.4104 0.0000 3.4104
3.4104 3.4104 0.0000
Bi F Pd
2 1 1
Cartesian
5.1156 5.1156 5.1156
1.7052 1.7052 1.7052
0.0000 0.0000 0.0000
3.4104 3.4104 3.4104
```

ΔE to the lowest computed polymorph	0.0	meV per atom
VASP energy	-4.46	eV per atom
raw formation energy	-17.5	kcal/mol of atoms
V	79.3	Å³/f.u.